This record from Alexandria via LeMat-Bulk describes a relaxed Be2Fe2Sb crystal. The functional is PBE.

abc: 6.404 6.404 3.039
angles: 90.00 90.00 90.00
Sites, in units of the cell vectors:
Be 0.130 0.370 0.000
Be 0.370 0.870 0.000
Be 0.630 0.130 0.000
Be 0.870 0.630 0.000
Fe 0.144 0.644 0.500
Fe 0.356 0.144 0.500
Fe 0.644 0.856 0.500
Fe 0.856 0.356 0.500
Sb 0.000 0.000 0.500
Sb 0.500 0.500 0.500

Results
ΔE_f (raw): 1.32 eV/f.u.
VASP energy: -5.4354 eV/atom